[1]
Crystalline TlGaSn at its relaxed geometry, computed with GGA-PBE.

- Density of states at the Fermi level: 1.6 states/eV/cell
- Energy: -3.052 eV per atom

a b c (Å): 3.4192 3.4192 7.7927
angles (deg): 90.00 90.00 120.00
Element x y z (fractional)
Tl 0.0000 0.0000 0.0000
Ga 0.6667 0.3333 0.3264
Sn 0.3333 0.6667 0.6317

***

[2]
Crystalline TlGa3Sn at its relaxed geometry, computed with GGA-PBE.

- Density of states at the Fermi level: 8.8 states/eV/cell
- Energy: -3.022 eV per atom

a b c (Å): 7.7180 7.6023 9.8434
angles (deg): 90.00 122.27 90.00
Element x y z (fractional)
Tl 0.1670 0.0210 0.2133
Tl 0.1670 0.4790 0.7133
Tl 0.8330 0.5210 0.2867
Tl 0.8330 0.9790 0.7867
Ga 0.0941 0.6340 0.1169
Ga 0.0941 0.8660 0.6169
Ga 0.2916 0.0441 0.8927
Ga 0.2916 0.4559 0.3927
Ga 0.3810 0.7350 0.0536
Ga 0.3810 0.7650 0.5536
Ga 0.6190 0.2350 0.4464
Ga 0.6190 0.2650 0.9464
Ga 0.7084 0.5441 0.6073
Ga 0.7084 0.9559 0.1073
Ga 0.9059 0.1340 0.3831
Ga 0.9059 0.3660 0.8831
Sn 0.3546 0.1586 0.6003
Sn 0.3546 0.3414 0.1003
Sn 0.6454 0.6586 0.8997
Sn 0.6454 0.8414 0.3997

***

Number 1: formation energy 0.08 eV per atom. Number 2: formation energy 0.07 eV per atom.